# YCd2Si

An optimized crystal structure of YCd2Si (GGA-PBEsol, Alexandria).

a = 3.414 Å, b = 5.361 Å, c = 5.668 Å
α = 114.68°, β = 90.00°, γ = 108.57°
Element x y z (fractional)
Cd  0.984  0.968  0.969
Cd  0.211  0.421  0.794
Si  0.522  0.043  0.394
Y  0.784  0.568  0.343

ΔE_f (raw)   -133 meV per atom
Crystal system   monoclinic
Raw total energy   -3.8738 eV per atom



# Ca3IrW

An optimized crystal structure of Ca3IrW (GGA-PBEsol, Alexandria).

a = 5.185 Å, b = 5.185 Å, c = 5.185 Å
α = 90.00°, β = 90.00°, γ = 90.00°
Element x y z (fractional)
Ca  0.000  0.500  0.000
Ca  0.000  0.000  0.500
Ca  0.500  0.000  0.000
Ir  0.500  0.500  0.500
W  0.000  0.000  0.000

ΔE_f   1743 meV/atom
Crystal system   cubic
Raw total energy   -4.2634 eV per atom



# AgHgSe2

An optimized crystal structure of AgHgSe2 (GGA-PBEsol, Alexandria).

a = 5.975 Å, b = 5.975 Å, c = 7.321 Å
α = 114.08°, β = 114.08°, γ = 90.00°
Element x y z (fractional)
Se  0.861  0.375  0.250
Se  0.389  0.875  0.250
Se  0.625  0.611  0.750
Se  0.125  0.139  0.750
Hg  0.250  0.750  0.500
Hg  0.000  0.000  0.000
Ag  0.750  0.250  0.500
Ag  0.500  0.500  0.000

ΔE_f (raw)   -29 meV per atom
Crystal system   tetragonal
Raw total energy   -2.9238 eV per atom